LaAl2Ge2 | meta-GGA SCAN | PBEsol geometry

Cell and atoms, written as CIF:
```
data_LaAl2Ge2
_space_group_name_H-M_alt 'P -3 m 1'
_space_group_IT_number 164
_space_group_name_Hall '-P 3 2"'
_cell_length_a 4.2708
_cell_length_b 4.2708
_cell_length_c 6.9423
_cell_angle_alpha 90.00
_cell_angle_beta 90.00
_cell_angle_gamma 120.00
loop_
_atom_site_label
_atom_site_type_symbol
_atom_site_fract_x
_atom_site_fract_y
_atom_site_fract_z
_atom_site_occupancy
La1 La 0.0000 0.0000 0.0000 1
Al1 Al 0.3333 0.6667 0.6385 1
Ge1 Ge 0.3333 0.6667 0.2688 1
```

Properties
The value obtained for the calculated formation energy is -0.538 eV per atom. For the size of the total moment, the calculation gives 0.0 μB per formula unit. The calculation puts the density of states at the Fermi level at 0.31 states/eV/atom. The value obtained for the energy is -19.89 eV/atom.

---

CdCo2Bi2 | meta-GGA SCAN | PBEsol geometry

Cell and atoms, written as CIF:
```
data_CdCo2Bi2
_space_group_name_H-M_alt 'I 4/m m m'
_space_group_IT_number 139
_space_group_name_Hall '-I 4 2'
_cell_length_a 3.407
_cell_length_b 3.407
_cell_length_c 18.191
_cell_angle_alpha 90.00
_cell_angle_beta 90.00
_cell_angle_gamma 90.00
loop_
_atom_site_label
_atom_site_type_symbol
_atom_site_fract_x
_atom_site_fract_y
_atom_site_fract_z
_atom_site_occupancy
Cd1 Cd 0.000 0.000 0.000 1
Co1 Co 0.000 0.500 0.250 1
Bi1 Bi 0.000 0.000 0.367 1
```

Properties
The value obtained for the calculated formation energy is 0.343 eV per atom. For the size of the total moment, the calculation gives 3.6 μB per formula unit. The calculation puts the density of states at the Fermi level at 0.56 states/eV/atom. The value obtained for the energy is -44.09 eV/atom.